## a
Mg3GeRu | PBE | optimized geometry

a = 4.916 Å, b = 4.916 Å, c = 4.916 Å
α = 90.00°, β = 90.00°, γ = 90.00°
Sites, in units of the cell vectors:
Mg (0.000, 0.000, 0.500)
Mg (0.000, 0.500, 0.000)
Mg (0.500, 0.000, 0.000)
Ge (0.500, 0.500, 0.500)
Ru (0.000, 0.000, 0.000)

Results
Its magnetic moment is 0.0 μB per cell. The calculation puts the calculated density at 3447 kg/m3. The calculation puts the density of states at the Fermi level at 2.6 states/eV/f.u.

## b
Mg3GeRu | PBE | optimized geometry

a = 4.913 Å, b = 4.913 Å, c = 4.913 Å
α = 90.00°, β = 90.00°, γ = 90.00°
Sites, in units of the cell vectors:
Mg (0.000, 0.000, 0.500)
Mg (0.000, 0.500, 0.000)
Mg (0.500, 0.000, 0.000)
Ge (0.000, 0.000, 0.000)
Ru (0.500, 0.500, 0.500)

Results
Its magnetic moment is 2.1 μB per cell. The calculation puts the calculated density at 3454 kg/m3. The calculation puts the density of states at the Fermi level at 5.4 states/eV/f.u.

Stability, descending: a, b

## a
MgGe3S | PBE | optimized geometry

a = 5.000 Å, b = 5.000 Å, c = 5.000 Å
α = 90.00°, β = 90.00°, γ = 90.00°
Sites, in units of the cell vectors:
Mg (0.000, 0.000, 0.000)
Ge (0.000, 0.000, 0.500)
Ge (0.000, 0.500, 0.000)
Ge (0.500, 0.000, 0.000)
S (0.500, 0.500, 0.500)

Results
Its magnetic moment is 0.0 μB per cell. The calculation puts the calculated density at 3644 kg/m3. The calculation puts the density of states at the Fermi level at 3.1 states/eV/f.u.

## b
MgGe3S | PBE | optimized geometry

a = 4.952 Å, b = 4.952 Å, c = 4.952 Å
α = 90.00°, β = 90.00°, γ = 90.00°
Sites, in units of the cell vectors:
Mg (0.000, 0.000, 0.000)
Ge (0.000, 0.500, 0.500)
Ge (0.500, 0.000, 0.500)
Ge (0.500, 0.500, 0.000)
S (0.500, 0.500, 0.500)

Results
Its magnetic moment is 0.0 μB per cell. The calculation puts the calculated density at 3751 kg/m3. The calculation puts the density of states at the Fermi level at 1.2 states/eV/f.u.

Stability, descending: b, a

## a
Mg3GeS | PBE | optimized geometry

a = 4.763 Å, b = 4.763 Å, c = 4.763 Å
α = 90.00°, β = 90.00°, γ = 90.00°
Sites, in units of the cell vectors:
Mg (0.000, 0.000, 0.500)
Mg (0.000, 0.500, 0.000)
Mg (0.500, 0.000, 0.000)
Ge (0.500, 0.500, 0.500)
S (0.000, 0.000, 0.000)

Results
Its magnetic moment is 0.0 μB per cell. The calculation puts the calculated density at 2730 kg/m3. The calculation puts the density of states at the Fermi level at 0.2 states/eV/f.u.

## b
Mg3GeS | PBE | optimized geometry

a = 4.948 Å, b = 4.948 Å, c = 4.948 Å
α = 90.00°, β = 90.00°, γ = 90.00°
Sites, in units of the cell vectors:
Mg (0.000, 0.000, 0.500)
Mg (0.000, 0.500, 0.000)
Mg (0.500, 0.000, 0.000)
Ge (0.000, 0.000, 0.000)
S (0.500, 0.500, 0.500)

Results
Its magnetic moment is 0.0 μB per cell. The calculation puts the calculated density at 2435 kg/m3. The calculation puts the density of states at the Fermi level at 0.0 states/eV/f.u.

Stability, descending: a, b

## a
MgGeS3 | PBE | optimized geometry

a = 6.609 Å, b = 6.609 Å, c = 10.833 Å
α = 93.86°, β = 93.86°, γ = 31.57°
Sites, in units of the cell vectors:
Mg (0.145, 0.145, 0.407)
Mg (0.855, 0.855, 0.593)
Ge (0.419, 0.419, 0.236)
Ge (0.581, 0.581, 0.764)
S (0.144, 0.144, 0.875)
S (0.346, 0.346, 0.422)
S (0.407, 0.407, 0.745)
S (0.593, 0.593, 0.255)
S (0.654, 0.654, 0.578)
S (0.856, 0.856, 0.125)

Results
Its magnetic moment is 0.0 μB per cell. The calculation puts the calculated density at 2596 kg/m3. The calculation puts the density of states at the Fermi level at 0.0 states/eV/f.u.

## b
MgGeS3 | PBE | optimized geometry

a = 4.702 Å, b = 4.702 Å, c = 4.702 Å
α = 90.00°, β = 90.00°, γ = 90.00°
Sites, in units of the cell vectors:
Mg (0.000, 0.000, 0.000)
Ge (0.500, 0.500, 0.500)
S (0.000, 0.500, 0.500)
S (0.500, 0.000, 0.500)
S (0.500, 0.500, 0.000)

Results
Its magnetic moment is 0.0 μB per cell. The calculation puts the calculated density at 3084 kg/m3. The calculation puts the density of states at the Fermi level at 2.5 states/eV/f.u.

Stability, descending: a, b

## a
MgGe2Sb2 | PBE | optimized geometry

a = 7.518 Å, b = 7.518 Å, c = 4.187 Å
α = 90.00°, β = 90.00°, γ = 90.00°
Sites, in units of the cell vectors:
Mg (0.000, 0.000, 0.000)
Mg (0.500, 0.500, 0.000)
Ge (0.128, 0.372, 0.000)
Ge (0.372, 0.872, 0.000)
Ge (0.628, 0.128, 0.000)
Ge (0.872, 0.628, 0.000)
Sb (0.179, 0.679, 0.500)
Sb (0.321, 0.179, 0.500)
Sb (0.679, 0.821, 0.500)
Sb (0.821, 0.321, 0.500)

Results
Its magnetic moment is 0.0 μB per cell. The calculation puts the calculated density at 5798 kg/m3. The calculation puts the density of states at the Fermi level at 2.4 states/eV/f.u.

## b
MgGe2Sb2 | PBE | optimized geometry

a = 8.047 Å, b = 8.047 Å, c = 3.793 Å
α = 90.00°, β = 90.00°, γ = 90.00°
Sites, in units of the cell vectors:
Mg (0.000, 0.000, 0.000)
Mg (0.500, 0.500, 0.000)
Ge (0.133, 0.367, 0.500)
Ge (0.367, 0.867, 0.500)
Ge (0.633, 0.133, 0.500)
Ge (0.867, 0.633, 0.500)
Sb (0.166, 0.666, 0.000)
Sb (0.334, 0.166, 0.000)
Sb (0.666, 0.834, 0.000)
Sb (0.834, 0.334, 0.000)

Results
Its magnetic moment is 0.0 μB per cell. The calculation puts the calculated density at 5586 kg/m3. The calculation puts the density of states at the Fermi level at 2.1 states/eV/f.u.

## c
MgGe2Sb2 | PBE | optimized geometry

a = 3.785 Å, b = 3.785 Å, c = 16.902 Å
α = 90.00°, β = 90.00°, γ = 90.00°
Sites, in units of the cell vectors:
Mg (0.000, 0.000, 0.000)
Mg (0.500, 0.500, 0.500)
Ge (0.000, 0.500, 0.250)
Ge (0.000, 0.500, 0.750)
Ge (0.500, 0.000, 0.250)
Ge (0.500, 0.000, 0.750)
Sb (0.000, 0.000, 0.402)
Sb (0.000, 0.000, 0.598)
Sb (0.500, 0.500, 0.098)
Sb (0.500, 0.500, 0.902)

Results
Its magnetic moment is 0.0 μB per cell. The calculation puts the calculated density at 5666 kg/m3. The calculation puts the density of states at the Fermi level at 2.1 states/eV/f.u.

Stability, descending: c, a, b

## a
MgGeSb2Te | PBE | optimized geometry

a = 5.378 Å, b = 5.378 Å, c = 5.408 Å
α = 90.00°, β = 90.00°, γ = 90.00°
Sites, in units of the cell vectors:
Mg (0.000, 0.000, 0.000)
Ge (0.500, 0.500, 0.500)
Sb (0.000, 0.500, 0.500)
Sb (0.500, 0.000, 0.500)
Te (0.500, 0.500, 0.000)

Results
Its magnetic moment is 0.0 μB per cell. The calculation puts the calculated density at 4969 kg/m3. The calculation puts the density of states at the Fermi level at 4.8 states/eV/f.u.

## b
MgGeSb2Te | PBE | optimized geometry

a = 5.306 Å, b = 5.306 Å, c = 5.521 Å
α = 90.00°, β = 90.00°, γ = 90.00°
Sites, in units of the cell vectors:
Mg (0.000, 0.000, 0.000)
Ge (0.500, 0.500, 0.500)
Sb (0.000, 0.500, 0.000)
Sb (0.500, 0.000, 0.000)
Te (0.000, 0.000, 0.500)

Results
Its magnetic moment is 0.0 μB per cell. The calculation puts the calculated density at 5001 kg/m3. The calculation puts the density of states at the Fermi level at 3.5 states/eV/f.u.

Stability, descending: a, b

## a
MgSc3Ge | PBE | optimized geometry

a = 5.128 Å, b = 5.128 Å, c = 5.128 Å
α = 90.00°, β = 90.00°, γ = 90.00°
Sites, in units of the cell vectors:
Mg (0.000, 0.000, 0.000)
Sc (0.000, 0.500, 0.500)
Sc (0.500, 0.000, 0.500)
Sc (0.500, 0.500, 0.000)
Ge (0.500, 0.500, 0.500)

Results
Its magnetic moment is 0.0 μB per cell. The calculation puts the calculated density at 2855 kg/m3. The calculation puts the density of states at the Fermi level at 15.4 states/eV/f.u.

## b
MgSc3Ge | PBE | optimized geometry

a = 5.112 Å, b = 5.112 Å, c = 5.112 Å
α = 90.00°, β = 90.00°, γ = 90.00°
Sites, in units of the cell vectors:
Mg (0.000, 0.000, 0.000)
Sc (0.000, 0.000, 0.500)
Sc (0.000, 0.500, 0.000)
Sc (0.500, 0.000, 0.000)
Ge (0.500, 0.500, 0.500)

Results
Its magnetic moment is 0.0 μB per cell. The calculation puts the calculated density at 2881 kg/m3. The calculation puts the density of states at the Fermi level at 6.5 states/eV/f.u.

Stability, descending: a, b

## a
MgScGe3 | PBE | optimized geometry

a = 4.912 Å, b = 4.912 Å, c = 4.912 Å
α = 90.00°, β = 90.00°, γ = 90.00°
Sites, in units of the cell vectors:
Mg (0.000, 0.000, 0.000)
Sc (0.500, 0.500, 0.500)
Ge (0.000, 0.000, 0.500)
Ge (0.000, 0.500, 0.000)
Ge (0.500, 0.000, 0.000)

Results
Its magnetic moment is 0.0 μB per cell. The calculation puts the calculated density at 4023 kg/m3. The calculation puts the density of states at the Fermi level at 3.1 states/eV/f.u.

## b
MgScGe3 | PBE | optimized geometry

a = 5.118 Å, b = 5.118 Å, c = 5.118 Å
α = 90.00°, β = 90.00°, γ = 90.00°
Sites, in units of the cell vectors:
Mg (0.000, 0.000, 0.000)
Sc (0.500, 0.500, 0.500)
Ge (0.000, 0.500, 0.500)
Ge (0.500, 0.000, 0.500)
Ge (0.500, 0.500, 0.000)

Results
Its magnetic moment is 0.0 μB per cell. The calculation puts the calculated density at 3556 kg/m3. The calculation puts the density of states at the Fermi level at 4.6 states/eV/f.u.

Stability, descending: b, a